(i)
First-principles (GGA-PBE) data for a relaxed CuAs3 crystal, as listed in Alexandria via LeMat-Bulk.

Magnetization in μB/atom: 0.000

a b c (Å): 5.2314 5.2314 5.2314
angles (deg): 90.00 90.00 90.00
Fractional positions:
Cu (0.5000, 0.5000, 0.5000)
As (0.5000, 0.0000, 0.2500)
As (0.2500, 0.5000, 0.0000)
As (0.0000, 0.2500, 0.5000)
As (0.5000, 0.0000, 0.7500)
As (0.7500, 0.5000, 0.0000)
Cu (0.0000, 0.0000, 0.0000)
As (0.0000, 0.7500, 0.5000)

(ii)
First-principles (GGA-PBE) data for a relaxed CuAs3 crystal, as listed in Alexandria via LeMat-Bulk.

Magnetization in μB/atom: 0.000

a b c (Å): 6.1693 6.1693 6.1693
angles (deg): 153.64 130.56 56.89
Fractional positions:
As (0.1411, 0.5000, 0.6411)
As (0.6493, 0.6650, 0.9843)
As (0.3192, 0.3350, 0.9843)
Cu (0.7237, 0.0000, 0.7237)

Computed relative energies in units of eV/atom: (i) 0.318; (ii) 0.000

(i)
First-principles (GGA-PBE) data for a relaxed CuAs3 crystal, as listed in Alexandria via LeMat-Bulk.

Magnetization in μB/atom: 0.000

a b c (Å): 3.8233 3.8290 5.3042
angles (deg): 90.00 90.00 90.00
Fractional positions:
Cu (0.0000, 0.5000, 0.4169)
As (0.0000, 0.0000, 0.0772)
As (0.5000, 0.0000, 0.4166)
As (0.5000, 0.5000, 0.7560)

(ii)
First-principles (GGA-PBE) data for a relaxed CuAs3 crystal, as listed in Alexandria via LeMat-Bulk.

Magnetization in μB/atom: 0.000

a b c (Å): 5.8667 5.8667 9.5531
angles (deg): 90.00 90.00 120.00
Fractional positions:
Cu (0.0000, 0.0000, 0.0000)
As (0.5000, 0.0000, 0.0000)
As (0.8478, 0.6957, 0.2500)
As (0.1522, 0.3043, 0.7500)
As (0.3043, 0.1522, 0.2500)
As (0.1522, 0.8478, 0.7500)
Cu (0.0000, 0.0000, 0.5000)
As (0.6957, 0.8478, 0.7500)
As (0.8478, 0.1522, 0.2500)
As (0.0000, 0.5000, 0.0000)
As (0.5000, 0.0000, 0.5000)
As (0.5000, 0.5000, 0.0000)
Cu (0.6667, 0.3333, 0.7500)
Cu (0.3333, 0.6667, 0.2500)
As (0.5000, 0.5000, 0.5000)
As (0.0000, 0.5000, 0.5000)

Computed relative energies in units of eV/atom: (i) 0.000; (ii) 0.180

(i)
First-principles (GGA-PBE) data for a relaxed CuAs3 crystal, as listed in Alexandria via LeMat-Bulk.

Magnetization in μB/atom: 0.000

a b c (Å): 7.1655 7.1655 3.5182
angles (deg): 90.00 90.00 113.28
Fractional positions:
As (0.5958, 0.9360, 0.2500)
As (0.4042, 0.0640, 0.7500)
Cu (0.4219, 0.5781, 0.2500)
Cu (0.5781, 0.4219, 0.7500)
As (0.9132, 0.0868, 0.7500)
As (0.9360, 0.5958, 0.7500)
As (0.0640, 0.4042, 0.2500)
As (0.0868, 0.9132, 0.2500)

(ii)
First-principles (GGA-PBE) data for a relaxed CuAs3 crystal, as listed in Alexandria via LeMat-Bulk.

Magnetization in μB/atom: 0.000

a b c (Å): 2.7869 2.7869 9.1961
angles (deg): 90.00 90.00 90.02
Fractional positions:
Cu (0.5000, 0.5000, 0.2500)
As (0.5000, 0.5000, 0.7500)
As (0.0000, 0.0000, 0.4543)
As (0.0000, 0.0000, 0.0457)

Computed relative energies in units of eV/atom: (i) 0.000; (ii) 0.014

(i)
First-principles (GGA-PBE) data for a relaxed CuAs3 crystal, as listed in Alexandria via LeMat-Bulk.

Magnetization in μB/atom: 0.000

a b c (Å): 5.2115 5.2115 5.2115
angles (deg): 116.11 116.11 116.11
Fractional positions:
As (0.5000, 0.0000, 0.5000)
As (0.5000, 0.5000, 0.0000)
As (0.0000, 0.0000, 0.0000)
Cu (0.0000, 0.5000, 0.5000)

(ii)
First-principles (GGA-PBE) data for a relaxed CuAs3 crystal, as listed in Alexandria via LeMat-Bulk.

Magnetization in μB/atom: 0.000

a b c (Å): 5.9833 5.9719 9.6276
angles (deg): 90.00 90.00 90.00
Fractional positions:
As (0.3676, 0.7491, 0.3795)
As (0.1324, 0.2491, 0.1205)
As (0.1350, 0.0078, 0.7500)
Cu (0.0248, 0.6091, 0.2500)
As (0.6324, 0.2509, 0.6205)
Cu (0.4752, 0.1091, 0.2500)
As (0.1324, 0.2491, 0.3795)
As (0.8650, 0.9922, 0.2500)
As (0.6324, 0.2509, 0.8795)
Cu (0.5248, 0.8909, 0.7500)
As (0.8676, 0.7509, 0.6205)
As (0.6350, 0.4922, 0.2500)
As (0.3650, 0.5078, 0.7500)
As (0.8676, 0.7509, 0.8795)
Cu (0.9752, 0.3909, 0.7500)
As (0.3676, 0.7491, 0.1205)

Computed relative energies in units of eV/atom: (i) 0.243; (ii) 0.000

(i)
First-principles (GGA-PBE) data for a relaxed CuAs3 crystal, as listed in Alexandria via LeMat-Bulk.

Magnetization in μB/atom: 0.000

a b c (Å): 2.8243 3.5647 6.9633
angles (deg): 90.00 90.00 90.00
Fractional positions:
Cu (0.0000, 0.0000, 0.0000)
As (0.0000, 0.0000, 0.5000)
As (0.5000, 0.5000, 0.7825)
As (0.5000, 0.5000, 0.2175)

(ii)
First-principles (GGA-PBE) data for a relaxed CuAs3 crystal, as listed in Alexandria via LeMat-Bulk.

Magnetization in μB/atom: 0.000

a b c (Å): 5.0031 5.0031 2.8050
angles (deg): 90.00 90.00 89.95
Fractional positions:
As (0.5000, 0.0000, 0.5000)
As (0.0000, 0.5000, 0.5000)
Cu (0.0000, 0.0000, 0.0000)
As (0.5000, 0.5000, 0.0000)

Computed relative energies in units of eV/atom: (i) 0.000; (ii) 0.028

(i)
First-principles (GGA-PBE) data for a relaxed Cu3As5 crystal, as listed in Alexandria via LeMat-Bulk.

Magnetization in μB/atom: 0.000

a b c (Å): 6.0507 6.0507 3.9428
angles (deg): 90.00 90.00 107.51
Fractional positions:
Cu (0.5000, 0.5000, 0.0000)
As (0.7323, 0.7323, 0.5000)
As (0.2677, 0.2677, 0.5000)
Cu (0.3068, 0.6932, 0.5000)
As (0.0000, 0.0000, 0.0000)
As (0.5000, 0.0000, 0.0000)
As (0.0000, 0.5000, 0.0000)
Cu (0.6932, 0.3068, 0.5000)

(ii)
First-principles (GGA-PBE) data for a relaxed Cu3As5 crystal, as listed in Alexandria via LeMat-Bulk.

Magnetization in μB/atom: 0.000

a b c (Å): 7.5875 7.5875 8.0776
angles (deg): 80.37 80.37 136.61
Fractional positions:
As (0.5243, 0.2905, 0.2305)
As (0.4189, 0.9189, 0.5080)
Cu (0.2957, 0.2870, 0.0208)
As (0.2369, 0.4746, 0.2312)
As (0.6282, 0.3920, 0.7594)
Cu (0.2110, 0.2112, 0.4978)
Cu (0.2087, 0.7087, 0.9975)
As (0.9746, 0.7369, 0.2312)
Cu (0.7870, 0.7957, 0.0208)
As (0.1847, 0.9475, 0.7609)
As (0.8920, 0.1282, 0.7594)
As (0.4475, 0.6847, 0.7609)
As (0.7905, 0.0243, 0.2305)
As (0.9766, 0.4766, 0.5030)
Cu (0.7112, 0.7110, 0.4978)
Cu (0.7122, 0.2122, 0.9965)

Computed relative energies in units of eV/atom: (i) 0.135; (ii) 0.000